(1)
An optimized crystal structure of AgHg7F12. Source: the Alexandria database, functional PBE-GGA.

Output
DFT total energy = -2.54 eV per atom

a = 12.3354 Å, b = 12.3354 Å, c = 7.3156 Å
α = 90.00°, β = 90.00°, γ = 120.00°
Space group R-3 (No. 148, hexagonal axes)
One atom of each set of equivalent atoms:
Ag 0.0000 0.0000 0.0000 x3
Hg 0.0000 0.0000 0.5000 x3
Hg 0.0044 0.2073 0.2317 x18
F 0.0414 0.2170 0.8872 x18
F 0.0700 0.5788 0.1435 x18



(2)
An optimized crystal structure of Ag4Hg2F5. Source: the Alexandria database, functional PBE-GGA.

Output
DFT total energy = -2.87 eV per atom

a = 3.107 Å, b = 7.785 Å, c = 8.405 Å
α = 107.12°, β = 100.44°, γ = 90.19°
Space group P-1 (No. 2)
One atom of each set of equivalent atoms:
Ag 0.025 0.323 0.044 x2
Ag 0.279 0.302 0.562 x2
Hg 0.350 0.920 0.698 x2
F 0.110 0.796 0.227 x2
F 0.159 0.459 0.312 x2
F 0.500 0.000 0.000 x1



(3)
An optimized crystal structure of AgHgF. Source: the Alexandria database, functional PBE-GGA.

Output
Energy relative to the lowest polymorph listed for this composition = 0.1979 eV/atom

a = 4.280 Å, b = 4.280 Å, c = 7.217 Å
α = 90.00°, β = 90.00°, γ = 90.00°
Space group I4mm (No. 107)
One atom of each set of equivalent atoms:
Ag 0.000 0.000 0.000 x2
Hg 0.000 0.000 0.369 x2
F 0.000 0.000 0.699 x2



Number 1: size of the total moment 0.0 μB per formula unit. Number 2: size of the total moment 0.0 μB per formula unit. Number 3: size of the total moment 0.0 μB per formula unit.